Compound: SrAsPb2
Source: the Alexandria database
Functional: PBE-GGA
Structure: relaxed

Computed properties:
The energy of formation from the pure elements is -92.3 kJ/mol of formula units. The magnetic moment is 0.000 μB/atom. For the electronic total energy, the calculation gives -3.676 eV per atom.

a = 7.8240 Å, b = 7.8240 Å, c = 7.8240 Å
α = 90.00°, β = 90.00°, γ = 90.00°
Space group F-43m (No. 216)
Symmetry-distinct sites (fractional):
1 Sr 0.0000 0.0000 0.0000
2 As 0.2500 0.2500 0.7500
3 Pb 0.0000 0.0000 0.5000
4 Pb 0.2500 0.2500 0.2500